VASP calculation (PBE) on a geometry-optimized HfTlCoS2 structure.

Cell: 4.849 4.849 5.945 Å, 90.00 90.00 90.00°
Space group P4/mmm (No. 123)
Asymmetric unit:
Hf 0.000 0.000 0.000 [1 per cell]
Tl 0.000 0.000 0.500 [1 per cell]
Co 0.500 0.500 0.500 [1 per cell]
S 0.000 0.500 0.000 [2 per cell]

Summary:
The value obtained for the total magnetic moment is 2.87 μB per formula unit. For the uncorrected formation energy, the calculation gives 0.328 eV per atom. For the calculated total energy, the calculation gives -26.04 eV for the cell shown.